Entry 1:
Below is a relaxed Zr2TcRh crystal, with properties calculated at the GGA-PBE level.

abc: 3.232 4.220 5.520
angles: 90.00 90.00 90.00
Atoms (fractional coordinates):
Zr1 0.000 0.000 0.000
Zr2 0.500 0.500 0.358
Tc1 0.500 0.500 0.868
Rh1 0.000 0.000 0.510

Computed properties:
Theoretical density (g/cm³): 8.5
DFT formation energy (eV per atom): -0.269
VASP energy (eV per atom): -8.973
Space group: No. 25

***

Entry 2:
Below is a relaxed AcPr3Y6Er2 crystal, with properties calculated at the GGA-PBE level.

abc: 6.290 6.290 11.988
angles: 95.00 95.00 119.98
Atoms (fractional coordinates):
Ac1 0.000 0.000 0.000
Pr1 0.167 0.833 0.500
Pr2 0.500 0.500 0.500
Pr3 0.833 0.167 0.500
Y1 0.084 0.420 0.250
Y2 0.253 0.253 0.750
Y3 0.420 0.084 0.250
Y4 0.580 0.916 0.750
Y5 0.747 0.747 0.250
Y6 0.916 0.580 0.750
Er1 0.333 0.667 0.000
Er2 0.667 0.333 0.000

Computed properties:
Theoretical density (g/cm³): 6.2
DFT formation energy (eV per atom): 0.024
VASP energy (eV per atom): -5.506
Space group: No. 12

***

Entry 3:
Below is a relaxed MgCoPb2 crystal, with properties calculated at the GGA-PBE level.

abc: 7.065 7.065 7.065
angles: 153.94 143.75 45.19
Atoms (fractional coordinates):
Mg1 0.000 0.000 0.000
Co1 0.823 0.323 0.500
Pb1 0.332 0.832 0.500
Pb2 0.637 0.637 0.000

Computed properties:
Theoretical density (g/cm³): 9.0
DFT formation energy (eV per atom): 0.220
VASP energy (eV per atom): -3.809
Space group: No. 44